! Pa2FeBiO8, relaxed, DFT PBE with a Hubbard U; values from VASP
! Raw total energy = -8.323 eV/atom
! Total magnetic moment = 5.000 μB/cell
&SYSTEM
  ibrav = 0, nat = 12, ntyp = 4
/
ATOMIC_SPECIES
Pa 231.04 Pa.upf
Fe 55.84 Fe.upf
Bi 208.98 Bi.upf
O 16.00 O.upf
CELL_PARAMETERS angstrom
-2.7012 2.7012 5.4633
2.7012 -2.7012 5.4633
2.7012 2.7012 -5.4633
ATOMIC_POSITIONS angstrom
Pa 0.0000 0.0000 0.0000
Pa 0.0000 2.7012 2.7317
Fe 2.7012 0.0000 2.7317
Bi 0.0000 0.0000 5.4633
O 3.8573 1.0401 -1.1332
O 1.1226 1.4695 -1.6677
O 3.9328 1.1226 1.6677
O 1.0401 1.5450 1.1332
O 1.5786 1.2317 3.7956
O -1.1562 1.6611 4.3302
O 1.6611 1.1562 6.5965
O -1.2317 1.5786 7.1310